Record 1
Below is a relaxed structure of Ba4PmS5, with properties calculated at the PBE level.

Cell lengths 7.6907, 7.6907, 7.6907 Å; angles 99.69, 99.69, 131.57 degrees
Fractional coordinates of all 10 atoms:
Ba  0.0966  0.3001  0.3967
Ba  0.3001  0.9034  0.2035
Ba  0.6999  0.0966  0.7965
Ba  0.9034  0.6999  0.6033
Pm  0.5163  0.5163  0.0000
S  0.2236  0.5931  0.8160
S  0.4076  0.2236  0.6305
S  0.5931  0.7771  0.3695
S  0.7771  0.4076  0.1840
S  0.9815  0.9815  0.0000

Results
The energy is -5.330 eV per atom. As for the raw formation energy: -2022 meV/atom.



Record 2
Below is a relaxed structure of Ba2PmS3, with properties calculated at the PBE level.

Cell lengths 7.5688, 7.5688, 7.4811 Å; angles 99.70, 99.70, 119.29 degrees
Fractional coordinates of all 12 atoms:
Ba  0.0832  0.9168  0.7500
Ba  0.2446  0.7554  0.2500
Ba  0.7554  0.2446  0.7500
Ba  0.9168  0.0832  0.2500
Pm  0.4175  0.5825  0.7500
Pm  0.5825  0.4175  0.2500
S  0.0000  0.5000  0.5000
S  0.2084  0.3559  0.0031
S  0.3559  0.2084  0.5031
S  0.5000  0.0000  0.0000
S  0.6441  0.7916  0.4969
S  0.7916  0.6441  0.9969

Results
The energy is -5.494 eV per atom. The calculation puts the energy above the most stable polymorph in this dataset at 0 meV/atom. As for the raw formation energy: -1997 meV/atom.



Record 3
Below is a relaxed structure of BaPm4S6, with properties calculated at the PBE level.

Cell lengths 7.0169, 7.0169, 20.8934 Å; angles 90.00, 90.00, 146.13 degrees
Fractional coordinates of all 22 atoms:
Ba  0.1582  0.8418  0.7500
Ba  0.8418  0.1582  0.2500
Pm  0.0957  0.9043  0.1281
Pm  0.0957  0.9043  0.3719
Pm  0.3631  0.6369  0.0405
Pm  0.3631  0.6369  0.4595
Pm  0.6369  0.3631  0.5405
Pm  0.6369  0.3631  0.9595
Pm  0.9043  0.0957  0.6281
Pm  0.9043  0.0957  0.8719
S  0.0000  0.0000  0.0000
S  0.0000  0.0000  0.5000
S  0.1689  0.8311  0.2500
S  0.2688  0.7312  0.5857
S  0.2688  0.7312  0.9143
S  0.4600  0.5400  0.1585
S  0.4600  0.5400  0.3415
S  0.5400  0.4600  0.6585
S  0.5400  0.4600  0.8415
S  0.7312  0.2688  0.0857
S  0.7312  0.2688  0.4143
S  0.8311  0.1689  0.7500

Results
The energy is -6.217 eV per atom. As for the raw formation energy: -2063 meV/atom.



Record 4
Below is a relaxed structure of Ba2PmS4, with properties calculated at the PBE level.

Cell lengths 6.6915, 6.6915, 4.7826 Å; angles 90.00, 90.00, 108.25 degrees
Fractional coordinates of all 7 atoms:
Ba  0.1943  0.8057  0.0000
Ba  0.8057  0.1943  0.0000
Pm  0.5000  0.5000  0.5000
S  0.0000  0.5000  0.5000
S  0.2949  0.2949  0.0000
S  0.5000  0.0000  0.5000
S  0.7051  0.7051  0.0000

Results
The energy is -5.211 eV per atom. As for the raw formation energy: -1624 meV/atom.



Question: Which of these has the lowest energy?
Answer: BaPm4S6



Question: Which value of raw formation energy does entry 1 give?
Answer: -2022 meV/atom



Question: Among the records above, which one has the lowest raw formation energy?
Answer: BaPm4S6



Question: energy of number 1 (Ba4PmS5)?
Answer: -5.330 eV per atom